DFT (PBE+U) results for crystalline MnRuNO at its relaxed geometry. Values from VASP.

Calculated values
final energy: -0.29119 Ha/atom
total moment: 1.2229 μB/atom
E above lowest polymorph: 0.0 meV/atom

Structure (Quantum ESPRESSO input):
```
&SYSTEM
  ibrav = 0, nat = 8, ntyp = 4
/
ATOMIC_SPECIES
Ru 101.07 Ru.upf
O 16.00 O.upf
N 14.01 N.upf
Mn 54.94 Mn.upf
ATOMIC_POSITIONS angstrom
Ru 0.8320 1.0120 1.0671
Ru 2.0241 1.3036 4.0932
O 0.8329 3.0884 4.3710
O -0.3593 2.7968 1.3449
N -0.3358 -0.3964 1.7200
N 2.4002 1.3238 2.1875
Mn -2.2139 2.4238 2.1615
Mn 0.5221 4.1440 2.6290
CELL_PARAMETERS angstrom
-3.0134 4.6488 0.7774
-1.5439 -1.4287 2.5586
3.9282 2.0118 3.4937
```